A plane-wave DFT calculation with GGA-PBE was carried out for crystalline Ta4NiSbN2 at its relaxed geometry.

Output
The calculated total energy comes out at -9.6095 eV/atom. As for the volume: 14.36 A^3/atom.

Geometry as CIF:
```
data_Ta4NiSbN2
_chemical_formula_sum 'Ta4 Ni1 Sb1 N2'
_space_group_name_H-M_alt 'P -6 m 2'
_space_group_IT_number 187
_space_group_name_Hall 'P -6 2'
_cell_length_a 3.2110
_cell_length_b 3.2110
_cell_length_c 12.8701
_cell_angle_alpha 90.00
_cell_angle_beta 90.00
_cell_angle_gamma 120.00
loop_
_atom_site_label
_atom_site_type_symbol
_atom_site_fract_x
_atom_site_fract_y
_atom_site_fract_z
Ta1 Ta 0.0000 0.0000 0.1466
Ta2 Ta 0.6667 0.3333 0.3260
Ni1 Ni 0.6667 0.3333 0.0000
Sb1 Sb 0.0000 0.0000 0.5000
N1 N 0.3333 0.6667 0.2367
```